Entry from the Open Quantum Materials Database: crystalline Dy6YHo at its relaxed geometry (PBE).

Properties
The calculation puts the energy at -4.8239 eV per atom.

```
Dy6YHo
1.0
7.230 0.000 0.000
-3.615 6.262 0.000
0.000 0.000 5.626
Dy Y Ho
6 1 1
Cartesian
-1.797 3.137 0.000 Dy
0.000 2.097 2.813 Dy
-1.799 5.213 2.813 Dy
1.797 3.137 0.000 Dy
0.000 6.249 0.000 Dy
1.799 5.213 2.813 Dy
3.615 2.087 2.813 Y
0.000 0.000 0.000 Ho
```



Entry from the Open Quantum Materials Database: crystalline DyY2Ho at its relaxed geometry (PBE).

Properties
The calculation puts the energy at -5.5227 eV per atom.

```
DyY2Ho
1.0
3.626 -6.281 0.000
3.626 6.281 0.000
0.000 0.000 5.631
Dy Y Ho
2 4 2
Cartesian
3.626 4.180 4.223 Dy
3.626 -4.180 1.408 Dy
1.816 1.058 4.223 Y
1.816 -1.058 1.408 Y
5.436 1.058 4.223 Y
5.436 -1.058 1.408 Y
3.626 2.103 1.408 Ho
3.626 -2.103 4.223 Ho
```



Entry from the Open Quantum Materials Database: crystalline DyY2Ho at its relaxed geometry (PBE).

Properties
The calculation puts the energy at -5.5230 eV per atom.

```
DyY2Ho
1.0
5.633 0.000 0.000
0.000 6.278 3.627
0.000 -6.278 3.627
Dy Y Ho
2 4 2
Cartesian
1.408 -5.234 3.627 Dy
4.224 5.234 3.627 Dy
1.408 1.051 3.611 Y
1.408 -2.098 5.440 Y
4.224 -1.051 3.611 Y
4.224 2.098 5.440 Y
1.408 -2.087 1.800 Ho
4.224 2.087 1.800 Ho
```



Entry from the Open Quantum Materials Database: crystalline Dy3Y3Ho2 at its relaxed geometry (PBE).

Properties
The calculation puts the energy at -5.2892 eV per atom.

```
Dy3Y3Ho2
1.0
7.245 0.000 0.000
-3.623 6.275 0.000
0.000 0.000 5.628
Dy Y Ho
3 3 2
Cartesian
-1.804 3.141 0.000 Dy
1.804 3.141 0.000 Dy
0.000 6.267 0.000 Dy
1.809 1.044 2.814 Y
5.437 1.044 2.814 Y
3.623 4.186 2.814 Y
0.000 0.000 0.000 Ho
0.000 4.183 2.814 Ho
```



Question: energy of number 3 (DyY2Ho)?
Answer: -5.5230 eV per atom